Model a:
Density functional theory data (PBE) for an optimized crystal structure of AsPOsSe2.

Results
Calculated volume ... 19.5 Å³ per atom

Cell: 4.6371 4.6371 4.5291 Å, 90.00 90.00 90.00°
Closest atoms and distances in Å follow each position.
Space group P4/mmm (No. 123)
Inequivalent atoms, fractional coordinates:
As 0.0000 0.0000 0.0000 [1 per cell]  2 P 2.26
P 0.0000 0.0000 0.5000 [1 per cell]  2 As 2.26, 4 Se 2.32
Os 0.5000 0.5000 0.0000 [1 per cell]  8 Se 3.24, 4 As 3.28
Se 0.0000 0.5000 0.5000 [2 per cell]  2 P 2.32

Model b:
Density functional theory data (PBE) for an optimized crystal structure of AsPOsSe2.

Results
Calculated volume ... 22.5 Å³ per atom

Cell: 4.8898 4.8898 4.7152 Å, 90.00 90.00 90.00°
Closest atoms and distances in Å follow each position.
Space group P4/mmm (No. 123)
Inequivalent atoms, fractional coordinates:
As 0.0000 0.0000 0.0000 [1 per cell]  2 Os 2.36
P 0.5000 0.5000 0.0000 [1 per cell]  8 Se 3.40, 4 As 3.46
Os 0.0000 0.0000 0.5000 [1 per cell]  2 As 2.36, 4 Se 2.44
Se 0.0000 0.5000 0.5000 [2 per cell]  2 Os 2.44

Stability, lowest: model a